No. 1
The following is a DFT calculation (PBE) of a relaxed structure of ScZnCu4Sn2.

POSCAR file:
```
ScZnCu4Sn2
1.0
-2.0704 -3.8680 -0.0857
2.6540 -1.3492 -3.2235
4.2832 -2.3929 4.5281
Zn Cu Sn Sc
1 4 2 1
direct
0.0000 0.0000 0.5000
0.0000 0.5000 0.2658
0.5000 0.0000 0.7342
0.5000 0.0000 0.2658
0.0000 0.5000 0.7342
0.5000 0.5000 0.5000
0.0000 0.0000 0.0000
0.5000 0.5000 0.0000
```

***

No. 2
The following is a DFT calculation (PBE) of a relaxed structure of RbAsAu.

POSCAR file:
```
RbAsAu
1.0
0.0000 3.5561 3.5561
3.5561 0.0000 3.5561
3.5561 3.5561 0.0000
Au As Rb
1 1 1
direct
0.2500 0.2500 0.2500
0.0000 0.0000 0.0000
0.7500 0.7500 0.7500
```

***

No. 3
The following is a DFT calculation (PBE) of a relaxed structure of PrSeS.

POSCAR file:
```
PrSeS
1.0
0.7305 9.7375 1.2075
-4.7524 -8.5162 -1.3032
-0.4658 -0.9264 7.7521
Se Pr S
2 2 2
direct
0.4363 0.5637 0.2535
0.5637 0.4363 0.2535
0.5000 0.5000 0.6165
0.0000 0.0000 0.0282
0.0873 0.9127 0.7522
0.9127 0.0873 0.7522
```

***

Calculated values (eV per formula unit) of energy for the records, taken in order: -31.48 -8.03 -16.30.